Entry 1:
Density functional theory data (PBE) for crystalline AlCuSiP at its relaxed geometry.

```
AlCuSiP
1.0
-1.652 -1.502 3.136
3.831 -0.062 -0.374
0.889 13.389 6.880
Al P Si Cu
3 3 3 3
direct
0.667 0.333 0.683
0.000 0.000 0.350
0.333 0.667 0.017
0.000 0.000 0.764
0.333 0.667 0.430
0.667 0.333 0.097
0.667 0.333 0.250
0.000 0.000 0.917
0.333 0.667 0.584
0.333 0.667 0.853
0.000 0.000 0.186
0.667 0.333 0.520
```

crystal system: trigonal
space group: R3m
uncorrected formation energy: 0.001 eV per atom



Entry 2:
Density functional theory data (PBE) for crystalline AlCuSiP at its relaxed geometry.

```
AlCuSiP
1.0
-0.703 -4.839 -2.610
2.448 1.130 -2.754
4.926 0.008 4.383
P Si Al Cu
2 2 2 2
direct
0.109 0.000 0.036
0.109 0.500 0.536
0.561 0.000 0.185
0.561 0.500 0.685
0.825 0.500 0.109
0.825 0.000 0.609
0.326 0.500 0.270
0.326 0.000 0.770
```

crystal system: monoclinic
space group: Cm
uncorrected formation energy: 0.028 eV per atom



Entry 3:
Density functional theory data (PBE) for crystalline AlCuSiP at its relaxed geometry.

```
AlCuSiP
1.0
3.680 -0.013 -0.005
-1.831 3.704 -0.003
-1.838 -1.112 5.256
Al P Si Cu
1 1 1 1
direct
0.259 0.603 0.021
0.841 0.918 0.870
0.717 0.069 0.467
0.405 0.448 0.463
```

crystal system: triclinic
space group: P1
uncorrected formation energy: -0.003 eV per atom



Entry 4:
Density functional theory data (PBE) for crystalline AlCuSiP at its relaxed geometry.

```
AlCuSiP
1.0
3.444 0.000 0.000
0.000 3.444 0.000
0.000 0.000 10.625
P Cu Si Al
2 2 2 2
direct
0.500 0.500 0.137
0.000 0.000 0.637
0.000 0.000 0.858
0.500 0.500 0.358
0.500 0.500 0.913
0.000 0.000 0.413
0.000 0.000 0.090
0.500 0.500 0.590
```

crystal system: tetragonal
space group: I4mm
uncorrected formation energy: -0.010 eV per atom



Entry 5:
Density functional theory data (PBE) for crystalline AlCuSiP at its relaxed geometry.

```
AlCuSiP
1.0
-0.032 -1.319 3.050
-3.449 -2.076 -0.929
3.923 -2.188 -2.722
P Al Cu Si
1 1 1 1
direct
0.125 0.488 0.095
0.575 0.898 0.993
0.908 0.079 0.660
0.793 0.497 0.430
```

crystal system: monoclinic
space group: Cm
uncorrected formation energy: 0.052 eV per atom



Entry 6:
Density functional theory data (PBE) for crystalline AlCuSiP at its relaxed geometry.

```
AlCuSiP
1.0
-3.680 -4.015 1.155
2.751 -2.428 0.324
2.359 3.495 6.156
Si Cu Al P
2 2 2 2
direct
0.461 0.500 0.905
0.461 0.000 0.405
0.425 0.000 0.706
0.425 0.500 0.206
0.892 0.000 0.706
0.892 0.500 0.206
0.044 0.500 0.923
0.044 0.000 0.423
```

crystal system: monoclinic
space group: Cm
uncorrected formation energy: -0.029 eV per atom



Entry 7:
Density functional theory data (PBE) for crystalline AlCuSiP at its relaxed geometry.

```
AlCuSiP
1.0
-0.502 -2.803 2.867
2.027 -2.100 -1.699
3.949 2.904 1.122
Al Si Cu P
1 1 1 1
direct
0.021 0.000 0.344
0.498 0.500 0.256
0.642 0.000 0.669
0.240 0.000 0.915
```

crystal system: monoclinic
space group: Pm
uncorrected formation energy: 0.067 eV per atom



Entry 8:
Density functional theory data (PBE) for crystalline AlCuSiP at its relaxed geometry.

```
AlCuSiP
1.0
5.255 0.000 0.010
0.000 3.692 0.000
-2.195 0.000 6.753
Cu Si Al P
2 2 2 2
direct
0.539 0.500 0.776
0.539 0.000 0.276
0.393 0.500 0.060
0.393 0.000 0.560
0.052 0.000 0.152
0.052 0.500 0.652
0.838 0.000 0.794
0.838 0.500 0.294
```

crystal system: monoclinic
space group: Cm
uncorrected formation energy: 0.000 eV per atom